Entry 1:
The following is a GGA-PBE calculation of a relaxed structure of La3Sm, from Alexandria.

a b c (Å): 7.1030 7.1030 7.1030
angles (deg): 149.51 63.45 125.82
With the nearest neighbours (Å) after each atom.
Element x y z (fractional)
La  0.0000  0.0000  0.0000  8 La 3.69-3.73, 4 Sm 3.73-3.74
La  0.4209  0.6704  0.7504  9 La 3.69-3.73, 3 Sm 3.70-3.71
La  0.9200  0.6704  0.2496  9 La 3.69-3.73, 3 Sm 3.70-3.71
Sm  0.5005  0.0005  0.5000  10 La 3.70-3.74, 2 Sm 3.73

Computed properties:
- Symmetry: Imm2
- Energy relative to the elements: 34 meV/atom



Entry 2:
The following is a GGA-PBE calculation of a relaxed structure of Tl2BiTe2, from Alexandria.

a b c (Å): 10.1248 10.1248 10.1248
angles (deg): 155.61 155.61 34.76
With the nearest neighbours (Å) after each atom.
Element x y z (fractional)
Tl  0.0949  0.0949  0.0000  4 Bi 3.54, 1 Tl 3.67, 4 Te 3.68
Tl  0.9051  0.9051  0.0000  4 Bi 3.54, 1 Tl 3.67, 4 Te 3.68
Bi  0.5000  0.5000  0.0000  8 Tl 3.54
Te  0.2500  0.7500  0.5000  4 Te 3.02
Te  0.7500  0.2500  0.5000  4 Te 3.02

Computed properties:
- Symmetry: I4/mmm
- ΔE_f (raw): 0.288 eV/f.u.



Entry 3:
The following is a GGA-PBE calculation of a relaxed structure of Si2As2Se, from Alexandria.

a b c (Å): 7.3469 7.3469 3.3528
angles (deg): 90.00 90.00 90.00
With the nearest neighbours (Å) after each atom.
Element x y z (fractional)
Si  0.1635  0.3365  0.0000  6 As 2.59-2.83, 2 Se 2.75
Si  0.3365  0.8365  0.0000  6 As 2.59-2.83, 2 Se 2.75
Si  0.6635  0.1635  0.0000  6 As 2.59-2.83, 2 Se 2.75
Si  0.8365  0.6635  0.0000  6 As 2.59-2.83, 2 Se 2.75
As  0.1467  0.6467  0.5000  6 Si 2.59-2.83
As  0.3533  0.1467  0.5000  6 Si 2.59-2.83
As  0.6467  0.8533  0.5000  6 Si 2.59-2.83
As  0.8533  0.3533  0.5000  6 Si 2.59-2.83
Se  0.0000  0.0000  0.0000  4 Si 2.75
Se  0.5000  0.5000  0.0000  4 Si 2.75

Computed properties:
- Symmetry: P4/mbm
- ΔE_f (raw): 2.053 eV/f.u.



Entry 4:
The following is a GGA-PBE calculation of a relaxed structure of LiSnI2O, from Alexandria.

a b c (Å): 5.6636 5.6636 3.8943
angles (deg): 90.00 90.00 90.00
With the nearest neighbours (Å) after each atom.
Element x y z (fractional)
Li  0.0000  0.0000  0.0000  2 O 1.95
Sn  0.5000  0.5000  0.5000  8 I 3.44
I  0.0000  0.5000  0.0000  2 Li 2.83
I  0.5000  0.0000  0.0000  2 Li 2.83
O  0.0000  0.0000  0.5000  2 Li 1.95

Computed properties:
- Symmetry: P4/mmm
- ΔE_f (raw): -1.622 eV/f.u.



Entry 5:
The following is a GGA-PBE calculation of a relaxed structure of KIrSe2, from Alexandria.

a b c (Å): 2.9891 4.5795 7.7432
angles (deg): 90.00 90.00 90.00
With the nearest neighbours (Å) after each atom.
Element x y z (fractional)
K  0.0000  0.0000  0.0000  2 K 2.99, 6 Se 3.21-3.30
Ir  0.5000  0.5000  0.4764  3 Se 2.37-2.41
Se  0.5000  0.0000  0.3801  2 Ir 2.41
Se  0.5000  0.5000  0.7821  1 Ir 2.37

Computed properties:
- Symmetry: Pmm2
- ΔE_f (raw): -0.470 eV/f.u.



Entry 6:
The following is a GGA-PBE calculation of a relaxed structure of K2CeErS4, from Alexandria.

a b c (Å): 7.1391 4.1194 7.7331
angles (deg): 90.00 107.85 90.00
With the nearest neighbours (Å) after each atom.
Element x y z (fractional)
K  0.0000  0.0000  0.0000  6 S 3.27
K  0.5000  0.5000  0.0000  6 S 3.19-3.20
Ce  0.0000  0.5000  0.5000  6 S 2.85-2.86
Er  0.5000  0.0000  0.5000  6 S 2.76-2.78
S  0.2446  0.0000  0.7047  1 Er 2.76, 2 Ce 2.85
S  0.2754  0.5000  0.2988  2 Er 2.78, 1 Ce 2.86
S  0.7246  0.5000  0.7012  2 Er 2.78, 1 Ce 2.86
S  0.7554  0.0000  0.2953  1 Er 2.76, 2 Ce 2.85

Computed properties:
- Symmetry: P2/m
- ΔE_f (raw): -14.641 eV/f.u.



Entry 7:
The following is a GGA-PBE calculation of a relaxed structure of ZrCu2Ru, from Alexandria.

a b c (Å): 2.8460 4.1710 5.1566
angles (deg): 90.00 98.88 90.00
With the nearest neighbours (Å) after each atom.
Element x y z (fractional)
Zr  0.0000  0.0000  0.0000  7 Cu 2.66-2.91, 2 Ru 2.69, 2 Zr 2.85
Cu  0.5744  0.5000  0.2519  2 Cu 2.42, 1 Ru 2.71
Cu  0.6272  0.0000  0.4945  2 Cu 2.42, 1 Zr 2.66, 2 Ru 2.71
Ru  0.2171  0.5000  0.7099  2 Zr 2.69, 7 Cu 2.71-2.82, 2 Ru 2.85

Computed properties:
- Symmetry: Pm
- Energy relative to the elements: -11 meV/atom



Entry 8:
The following is a GGA-PBE calculation of a relaxed structure of Ho2AgF, from Alexandria.

a b c (Å): 9.7518 9.7518 9.7518
angles (deg): 19.27 19.27 19.27
With the nearest neighbours (Å) after each atom.
Element x y z (fractional)
Ho  0.1017  0.1017  0.1017  3 F 2.65, 1 Ag 2.92
Ho  0.8983  0.8983  0.8983  3 F 2.65, 1 Ag 2.92
Ag  0.0000  0.0000  0.0000  2 Ho 2.92, 6 Ag 3.26
F  0.5000  0.5000  0.5000  6 Ho 2.65

Computed properties:
- Symmetry: R-3m
- ΔE_f (raw): -3.221 eV/f.u.



Entry 9:
The following is a GGA-PBE calculation of a relaxed structure of LaErCuHg, from Alexandria.

a b c (Å): 5.2340 5.2340 5.2340
angles (deg): 60.00 60.00 60.00
With the nearest neighbours (Å) after each atom.
Element x y z (fractional)
La  0.0000  0.0000  0.0000  4 Cu 3.21, 4 Hg 3.21
Er  0.5000  0.5000  0.5000  4 Cu 3.21, 4 Hg 3.21
Cu  0.7500  0.7500  0.7500  4 La 3.21, 4 Er 3.21
Hg  0.2500  0.2500  0.2500  4 La 3.21, 4 Er 3.21

Computed properties:
- Symmetry: F-43m
- Energy relative to the elements: -295 meV/atom



Entry 10:
The following is a GGA-PBE calculation of a relaxed structure of Zr3Ga4Au2, from Alexandria.

a b c (Å): 8.2697 8.2697 8.2697
angles (deg): 155.00 129.70 56.97
With the nearest neighbours (Å) after each atom.
Element x y z (fractional)
Zr  0.0000  0.0000  0.0000  4 Au 2.76, 4 Ga 3.00
Zr  0.1892  0.6892  0.5000  6 Ga 2.81-2.92
Zr  0.8108  0.3108  0.5000  6 Ga 2.81-2.92
Ga  0.1725  0.8597  0.3127  1 Ga 2.63, 2 Au 2.71, 3 Zr 2.81-2.92
Ga  0.4530  0.1403  0.3127  1 Ga 2.63, 2 Au 2.71, 3 Zr 2.81-2.92
Ga  0.5470  0.8597  0.6873  1 Ga 2.63, 2 Au 2.71, 3 Zr 2.81-2.92
Ga  0.8275  0.1403  0.6873  1 Ga 2.63, 2 Au 2.71, 3 Zr 2.81-2.92
Au  0.2987  0.5000  0.7987  4 Ga 2.71, 2 Zr 2.76, 1 Au 2.83
Au  0.7013  0.5000  0.2013  4 Ga 2.71, 2 Zr 2.76, 1 Au 2.83

Computed properties:
- Symmetry: Immm
- Energy relative to the elements: -314 meV/atom



Entry 11:
The following is a GGA-PBE calculation of a relaxed structure of Tb12Er3Zn, from Alexandria.

a b c (Å): 4.9451 4.9451 19.9536
angles (deg): 90.00 90.00 90.00
With the nearest neighbours (Å) after each atom.
Element x y z (fractional)
Tb  0.0000  0.0000  0.0000  8 Tb 3.42, 4 Zn 3.50
Tb  0.0000  0.0000  0.2425  4 Er 3.50, 8 Tb 3.50-3.58
Tb  0.0000  0.0000  0.5000  4 Er 3.50, 8 Tb 3.55
Tb  0.0000  0.0000  0.7575  4 Er 3.50, 8 Tb 3.50-3.58
Tb  0.0000  0.5000  0.1181  8 Tb 3.42-3.50, 2 Zn 3.42, 2 Er 3.55
Tb  0.0000  0.5000  0.3723  8 Tb 3.50-3.58, 4 Er 3.54-3.55
Tb  0.0000  0.5000  0.6277  8 Tb 3.50-3.58, 4 Er 3.54-3.55
Tb  0.0000  0.5000  0.8819  8 Tb 3.42-3.50, 2 Zn 3.42, 2 Er 3.55
Tb  0.5000  0.0000  0.1181  8 Tb 3.42-3.50, 2 Zn 3.42, 2 Er 3.55
Tb  0.5000  0.0000  0.3723  8 Tb 3.50-3.58, 4 Er 3.54-3.55
Tb  0.5000  0.0000  0.6277  8 Tb 3.50-3.58, 4 Er 3.54-3.55
Tb  0.5000  0.0000  0.8819  8 Tb 3.42-3.50, 2 Zn 3.42, 2 Er 3.55
Er  0.5000  0.5000  0.2455  12 Tb 3.50-3.55
Er  0.5000  0.5000  0.5000  12 Tb 3.50-3.55
Er  0.5000  0.5000  0.7545  12 Tb 3.50-3.55
Zn  0.5000  0.5000  0.0000  12 Tb 3.42-3.50

Computed properties:
- Symmetry: P4/mmm
- Energy relative to the elements: 16 meV/atom



Entry 12:
The following is a GGA-PBE calculation of a relaxed structure of LaDy8Ir6, from Alexandria.

a b c (Å): 7.7032 7.7032 7.7032
angles (deg): 65.45 65.45 65.45
With the nearest neighbours (Å) after each atom.
Element x y z (fractional)
La  0.0000  0.0000  0.0000  6 Ir 2.97
Dy  0.1065  0.4578  0.7733  5 Ir 2.87-3.07
Dy  0.2267  0.8935  0.5422  5 Ir 2.87-3.07
Dy  0.3364  0.3364  0.3364  6 Ir 2.94-2.99
Dy  0.4578  0.7733  0.1065  5 Ir 2.87-3.07
Dy  0.5422  0.2267  0.8935  5 Ir 2.87-3.07
Dy  0.6636  0.6636  0.6636  6 Ir 2.94-2.99
Dy  0.7733  0.1065  0.4578  5 Ir 2.87-3.07
Dy  0.8935  0.5422  0.2267  5 Ir 2.87-3.07
Ir  0.0588  0.7227  0.3916  7 Dy 2.87-3.07, 1 La 2.97
Ir  0.2773  0.6084  0.9412  7 Dy 2.87-3.07, 1 La 2.97
Ir  0.3916  0.0588  0.7227  7 Dy 2.87-3.07, 1 La 2.97
Ir  0.6084  0.9412  0.2773  7 Dy 2.87-3.07, 1 La 2.97
Ir  0.7227  0.3916  0.0588  7 Dy 2.87-3.07, 1 La 2.97
Ir  0.9412  0.2773  0.6084  7 Dy 2.87-3.07, 1 La 2.97

Computed properties:
- Symmetry: R-3
- Energy relative to the elements: -765 meV/atom